(1)
The following is a PBE calculation of a relaxed structure of In3Mo5, from the Alexandria database.

abc: 6.3974 6.3974 3.4481
angles: 90.00 90.00 90.61
With the nearest neighbours (Å) after each atom.
Atoms (fractional coordinates):
Mo: 0.5000 0.0000 0.0000  4 Mo 2.84, 4 In 2.85
Mo: 0.7603 0.2397 0.5000  6 Mo 2.78-2.84, 4 In 2.93-3.08
In: 0.2420 0.2420 0.5000  8 Mo 2.78-3.08, 2 In 2.89
In: 0.7580 0.7580 0.5000  8 Mo 2.78-3.08, 2 In 2.89
Mo: 0.0000 0.5000 0.0000  4 Mo 2.84, 4 In 2.85
Mo: 0.0000 0.0000 0.0000  4 In 2.78, 4 Mo 2.78
Mo: 0.2397 0.7603 0.5000  6 Mo 2.78-2.84, 4 In 2.93-3.08
In: 0.5000 0.5000 0.0000  4 In 2.89, 8 Mo 2.93-3.20

(2)
The following is a PBE calculation of a relaxed structure of InMo3, from the Alexandria database.

abc: 4.5763 4.5763 4.5763
angles: 60.00 60.00 60.00
With the nearest neighbours (Å) after each atom.
Atoms (fractional coordinates):
Mo: 0.2500 0.2500 0.2500  4 Mo 2.80, 4 In 2.80
Mo: 0.5000 0.5000 0.5000  8 Mo 2.80
Mo: 0.7500 0.7500 0.7500  4 In 2.80, 4 Mo 2.80
In: 0.0000 0.0000 0.0000  8 Mo 2.80

(3)
The following is a PBE calculation of a relaxed structure of In2Mo3, from the Alexandria database.

abc: 4.5076 4.5076 5.6254
angles: 90.00 90.00 120.00
With the nearest neighbours (Å) after each atom.
Atoms (fractional coordinates):
Mo: 0.0000 0.0000 0.0000  6 In 2.78
In: 0.3333 0.6667 0.8270  8 Mo 2.71-2.91
Mo: 0.6667 0.3333 0.6556  5 In 2.71-2.91
In: 0.6667 0.3333 0.1730  8 Mo 2.71-2.91
Mo: 0.3333 0.6667 0.3444  5 In 2.71-2.91

(4)
The following is a PBE calculation of a relaxed structure of InMo2, from the Alexandria database.

abc: 7.3051 7.0874 2.8904
angles: 82.68 74.21 23.11
With the nearest neighbours (Å) after each atom.
Atoms (fractional coordinates):
Mo: 0.3239 0.3239 0.6761  6 Mo 2.60-2.89
In: 0.0000 0.0000 0.0000  6 In 2.89-3.23, 4 Mo 2.92
Mo: 0.6761 0.6761 0.3239  6 Mo 2.60-2.89

(5)
The following is a PBE calculation of a relaxed structure of InMo8, from the Alexandria database.

abc: 6.1718 6.1718 6.1718
angles: 97.67 97.67 137.15
With the nearest neighbours (Å) after each atom.
Atoms (fractional coordinates):
Mo: 0.3355 0.6645 0.0000  10 Mo 2.67-2.99, 2 In 2.94
In: 0.0000 0.0000 0.0000  12 Mo 2.76-2.94
Mo: 0.3355 0.3355 0.6710  10 Mo 2.67-2.99, 2 In 2.94
Mo: 0.0000 0.3392 0.3392  7 Mo 2.61-2.92, 1 In 2.76
Mo: 0.3392 0.0000 0.3392  7 Mo 2.61-2.92, 1 In 2.76
Mo: 0.6608 0.0000 0.6608  7 Mo 2.61-2.92, 1 In 2.76
Mo: 0.6645 0.6645 0.3290  10 Mo 2.67-2.99, 2 In 2.94
Mo: 0.0000 0.6608 0.6608  7 Mo 2.61-2.92, 1 In 2.76
Mo: 0.6645 0.3355 0.0000  10 Mo 2.67-2.99, 2 In 2.94

(6)
The following is a PBE calculation of a relaxed structure of InMo3, from the Alexandria database.

abc: 4.4710 2.7902 5.6064
angles: 76.30 90.00 90.00
With the nearest neighbours (Å) after each atom.
Atoms (fractional coordinates):
Mo: 0.5000 0.2837 0.2610  6 Mo 2.75-2.89, 2 In 2.88
Mo: 0.0000 0.5000 0.5000  6 Mo 2.75-2.79, 2 In 2.82
Mo: 0.5000 0.7163 0.7390  6 Mo 2.75-2.89, 2 In 2.88
In: 0.0000 0.0000 0.0000  2 In 2.79, 10 Mo 2.82-3.12

| no. | energy relative to the elements (eV/atom) | density of states at the Fermi level (states/eV/f.u.) | electronic total energy (eV per atom) |
| --- | --- | --- | --- |
| 1 | 0.3799 | 6.50 | -7.416 |
| 2 | 0.3679 | 3.69 | -8.440 |
| 3 | 1.1090 | 6.20 | -6.485 |
| 4 | 0.2931 | 2.18 | -7.840 |
| 5 | 0.3479 | 9.31 | -9.584 |
| 6 | 0.2848 | 3.45 | -8.523 |